A relaxed K2ZnSb crystal. Source: Alexandria, functional PBE. Values from VASP.

Raw total energy (eV/atom): -1.994
ΔE_f (raw) (eV per atom): -0.096
Energy relative to the lowest polymorph listed for this composition (meV per atom): 145
Calculated volume (Å³ per cell): 128.0
Space-group type: F-43m

```
&SYSTEM
  ibrav = 0, nat = 4, ntyp = 3
/
ATOMIC_SPECIES
K 39.10 K.upf
Zn 65.41 Zn.upf
Sb 121.76 Sb.upf
ATOMIC_POSITIONS angstrom
K 0.000 0.000 0.000
K 2.000 2.000 2.000
Zn 6.000 6.000 6.000
Sb 4.000 4.000 4.000
CELL_PARAMETERS angstrom
0.000 4.000 4.000
4.000 0.000 4.000
4.000 4.000 0.000
```

A relaxed Na2Au2O3 crystal. Source: Alexandria, functional PBE. Values from VASP.

Raw total energy (eV/atom): -3.854
ΔE_f (raw) (eV per atom): -0.416
Calculated volume (Å³ per cell): 266.7
Space-group type: I2_13

```
&SYSTEM
  ibrav = 0, nat = 14, ntyp = 3
/
ATOMIC_SPECIES
Na 22.99 Na.upf
Au 196.97 Au.upf
O 16.00 O.upf
ATOMIC_POSITIONS angstrom
Na 4.254 -0.199 0.199
Na 0.199 4.254 -0.199
Na -0.199 0.199 4.254
Na 3.856 3.856 3.856
Au 2.384 1.672 -1.672
Au 1.672 -1.672 2.384
Au 1.672 1.672 1.672
Au -1.672 2.384 1.672
O 6.083 1.155 0.000
O 2.900 0.000 2.028
O 2.028 2.900 0.000
O 0.000 2.028 2.900
O 1.155 0.000 6.083
O 0.000 6.083 1.155
CELL_PARAMETERS angstrom
-4.055 4.055 4.055
4.055 -4.055 4.055
4.055 4.055 -4.055
```

Looking at spin magnetization for the records above, in order, we have 0.0; 0.0 μB per formula unit.